<one>
Computed, not measured: an optimized crystal structure of LiZn2Hg2 at the GGA-PBE level of DFT.

Cell: 7.495 7.495 3.564 Å, 90.00 90.00 90.00°
Fractional positions:
Zn: 0.379 0.879 0.000
Zn: 0.879 0.621 0.000
Zn: 0.621 0.121 0.000
Zn: 0.121 0.379 0.000
Hg: 0.183 0.683 0.500
Hg: 0.683 0.817 0.500
Hg: 0.817 0.317 0.500
Hg: 0.317 0.183 0.500
Li: 0.000 0.000 0.000
Li: 0.500 0.500 0.000

Fermi-level density of states: 3.3 states/eV/cell

=====

<two>
Computed, not measured: an optimized crystal structure of LiZn2Hg2 at the GGA-PBE level of DFT.

Cell: 7.649 7.649 3.505 Å, 90.00 90.00 90.00°
Fractional positions:
Zn: 0.126 0.626 0.500
Zn: 0.626 0.874 0.500
Zn: 0.874 0.374 0.500
Zn: 0.374 0.126 0.500
Hg: 0.323 0.823 0.000
Hg: 0.823 0.677 0.000
Hg: 0.677 0.177 0.000
Hg: 0.177 0.323 0.000
Li: 0.000 0.000 0.000
Li: 0.500 0.500 0.000

Fermi-level density of states: 4.1 states/eV/cell

=====

<three>
Computed, not measured: an optimized crystal structure of LiZn2Hg2 at the GGA-PBE level of DFT.

Cell: 4.432 4.432 6.516 Å, 70.12 70.12 90.00°
Fractional positions:
Zn: 0.395 0.395 0.210
Zn: 0.605 0.605 0.790
Hg: 0.750 0.250 0.500
Hg: 0.250 0.750 0.500
Li: 0.000 0.000 0.000

Fermi-level density of states: 1.9 states/eV/cell

=====

Which one sits at the bottom of the stability order? <three> does.

=====

<one>
Computed, not measured: an optimized crystal structure of Li12Zn6Hg at the GGA-PBE level of DFT.

Cell: 6.825 7.491 7.491 Å, 68.80 72.32 107.68°
Fractional positions:
Li: 0.520 0.840 0.270
Li: 0.680 0.890 0.840
Li: 0.790 0.270 0.890
Li: 0.480 0.160 0.730
Li: 0.320 0.110 0.160
Li: 0.210 0.730 0.110
Li: 0.259 0.426 0.626
Li: 0.115 0.374 0.052
Li: 0.167 0.052 0.574
Li: 0.741 0.574 0.374
Li: 0.885 0.626 0.948
Li: 0.833 0.948 0.426
Zn: 0.427 0.461 0.213
Zn: 0.034 0.674 0.539
Zn: 0.360 0.787 0.674
Zn: 0.573 0.539 0.787
Zn: 0.966 0.326 0.461
Zn: 0.640 0.213 0.326
Hg: 0.000 0.000 0.000

Fermi-level density of states: 5.8 states/eV/cell

=====

<two>
Computed, not measured: an optimized crystal structure of Li12Zn6Hg at the GGA-PBE level of DFT.

Cell: 6.886 6.886 6.886 Å, 89.10 89.10 89.10°
Fractional positions:
Li: 0.804 0.524 0.430
Li: 0.430 0.804 0.524
Li: 0.524 0.430 0.804
Li: 0.196 0.476 0.570
Li: 0.570 0.196 0.476
Li: 0.476 0.570 0.196
Li: 0.029 0.158 0.379
Li: 0.842 0.621 0.971
Li: 0.621 0.971 0.842
Li: 0.971 0.842 0.621
Li: 0.158 0.379 0.029
Li: 0.379 0.029 0.158
Zn: 0.733 0.885 0.281
Zn: 0.719 0.267 0.115
Zn: 0.115 0.719 0.267
Zn: 0.267 0.115 0.719
Zn: 0.281 0.733 0.885
Zn: 0.885 0.281 0.733
Hg: 0.000 0.000 0.000

Fermi-level density of states: 8.1 states/eV/cell

=====

Which one sits at the bottom of the stability order? <two> does.

=====

<one>
Computed, not measured: an optimized crystal structure of Li2ZrHg2 at the GGA-PBE level of DFT.

Cell: 7.825 7.825 3.002 Å, 90.00 90.00 90.00°
Fractional positions:
Hg: 0.182 0.682 0.500
Hg: 0.682 0.818 0.500
Hg: 0.818 0.318 0.500
Hg: 0.318 0.182 0.500
Zr: 0.000 0.000 0.000
Zr: 0.500 0.500 0.000
Li: 0.383 0.883 0.000
Li: 0.883 0.617 0.000
Li: 0.617 0.117 0.000
Li: 0.117 0.383 0.000

Fermi-level density of states: 6.4 states/eV/cell

=====

<two>
Computed, not measured: an optimized crystal structure of Li2ZrHg2 at the GGA-PBE level of DFT.

Cell: 7.982 7.982 3.055 Å, 90.00 90.00 90.00°
Fractional positions:
Hg: 0.356 0.856 0.000
Hg: 0.856 0.644 0.000
Hg: 0.644 0.144 0.000
Hg: 0.144 0.356 0.000
Zr: 0.000 0.000 0.000
Zr: 0.500 0.500 0.000
Li: 0.155 0.655 0.500
Li: 0.655 0.845 0.500
Li: 0.845 0.345 0.500
Li: 0.345 0.155 0.500

Fermi-level density of states: 6.3 states/eV/cell

=====

Which one sits at the bottom of the stability order? <two> does.

=====

<one>
Computed, not measured: an optimized crystal structure of Lu3Hg at the GGA-PBE level of DFT.

Cell: 5.302 5.302 5.302 Å, 60.00 60.00 60.00°
Last column: magnetic moment on the atom in μB.
Fractional positions:
Lu: 0.000 0.000 0.000  0.16
Lu: 0.750 0.750 0.750  0.13
Lu: 0.250 0.250 0.250  0.13
Hg: 0.500 0.500 0.500  0.00

Fermi-level density of states: 5.4 states/eV/cell

=====

<two>
Computed, not measured: an optimized crystal structure of Lu3Hg at the GGA-PBE level of DFT.

Cell: 3.498 3.428 9.709 Å, 90.00 90.00 90.00°
Last column: magnetic moment on the atom in μB.
Fractional positions:
Lu: 0.000 0.500 0.471  -0.26
Lu: 0.500 0.500 0.169  -0.18
Lu: 0.500 0.000 0.715  -0.19
Hg: 0.000 0.000 0.977  -0.01

Fermi-level density of states: 5.1 states/eV/cell

=====

<three>
Computed, not measured: an optimized crystal structure of Lu3Hg at the GGA-PBE level of DFT.

Cell: 4.709 4.709 4.709 Å, 90.00 90.00 90.00°
Fractional positions:
Lu: 0.000 0.500 0.500
Lu: 0.500 0.000 0.500
Lu: 0.500 0.500 0.000
Hg: 0.000 0.000 0.000

Fermi-level density of states: 4.3 states/eV/cell

=====

<four>
Computed, not measured: an optimized crystal structure of Lu3Hg at the GGA-PBE level of DFT.

Cell: 3.720 5.202 6.405 Å, 113.96 106.88 90.00°
Fractional positions:
Lu: 0.279 0.696 0.558
Lu: 0.500 0.417 0.000
Lu: 0.721 0.138 0.442
Hg: 0.000 0.916 0.000

Fermi-level density of states: 3.8 states/eV/cell

=====

Which one sits at the bottom of the stability order? <two> does.

=====

<one>
Computed, not measured: an optimized crystal structure of LuMgHg2 at the GGA-PBE level of DFT.

Cell: 5.016 5.016 5.016 Å, 60.00 60.00 60.00°
Fractional positions:
Mg: 0.000 0.000 0.000
Lu: 0.500 0.500 0.500
Hg: 0.250 0.250 0.250
Hg: 0.750 0.750 0.750

Fermi-level density of states: 1.7 states/eV/cell

=====

<two>
Computed, not measured: an optimized crystal structure of LuMgHg2 at the GGA-PBE level of DFT.

Cell: 3.653 5.003 5.003 Å, 90.00 90.00 90.00°
Fractional positions:
Mg: 0.500 0.000 0.000
Lu: 0.500 0.500 0.500
Hg: 0.000 0.000 0.500
Hg: 0.000 0.500 0.000

Fermi-level density of states: 0.9 states/eV/cell

=====

Which one sits at the bottom of the stability order? <two> does.